Entry 1:
Computed, not measured: a geometry-optimized Dy3Ga4Cu2 structure at the GGA-PBE level of DFT.

Cell: 4.383 5.656 8.350 Å, 109.94 90.00 112.80°
Fractional coordinates of all 9 atoms:
Ga 0.268 0.536 0.925
Ga 0.732 0.464 0.075
Ga 0.036 0.071 0.366
Ga 0.964 0.929 0.634
Cu 0.402 0.804 0.731
Cu 0.598 0.196 0.269
Dy 0.328 0.656 0.346
Dy 0.672 0.344 0.654
Dy 0.000 0.000 0.000

Output
distance to the lowest polymorph of the same formula: 0 meV/atom

***

Entry 2:
Computed, not measured: a geometry-optimized Dy3GaCu8 structure at the GGA-PBE level of DFT.

Cell: 5.164 5.164 8.418 Å, 90.00 90.00 120.01°
Fractional coordinates of all 12 atoms:
Cu 0.333 0.667 0.505
Cu 0.165 0.835 0.254
Cu 0.499 0.501 0.752
Cu 0.499 0.998 0.752
Cu 0.670 0.835 0.254
Cu 0.002 0.501 0.752
Cu 0.165 0.330 0.254
Cu 0.333 0.667 0.007
Ga 0.000 0.000 0.533
Dy 0.667 0.333 0.068
Dy 0.000 0.000 0.910
Dy 0.667 0.333 0.458

Output
final energy: -52.3 eV for the cell shown

***

Entry 3:
Computed, not measured: a geometry-optimized Dy2Ga6Cu structure at the GGA-PBE level of DFT.

Cell: 4.189 3.730 11.733 Å, 90.00 100.28 90.00°
Fractional coordinates of all 9 atoms:
Ga 0.108 0.500 0.215
Ga 0.593 0.000 0.186
Ga 0.707 0.000 0.413
Ga 0.448 0.500 0.897
Ga 0.886 0.500 0.772
Ga 0.219 0.500 0.438
Cu 0.781 0.500 0.562
Dy 0.997 0.000 0.994
Dy 0.330 0.000 0.661

Output
final energy: -34.7 eV for the cell shown

***

Entry 4:
Computed, not measured: a geometry-optimized Dy2GaCu7 structure at the GGA-PBE level of DFT.

Cell: 3.835 3.835 11.072 Å, 90.00 90.00 90.00°
Fractional coordinates of all 10 atoms:
Ga 0.500 0.500 0.000
Cu 0.500 0.000 0.363
Cu 0.000 0.000 0.500
Cu 0.000 0.000 0.000
Cu 0.500 0.500 0.500
Cu 0.000 0.500 0.637
Cu 0.500 0.000 0.145
Cu 0.000 0.500 0.855
Dy 0.000 0.500 0.254
Dy 0.500 0.000 0.746

Output
final energy: -42.9 eV for the cell shown

***

Entry 5:
Computed, not measured: a geometry-optimized DyGa4Cu2 structure at the GGA-PBE level of DFT.

Cell: 4.211 4.219 7.196 Å, 107.05 90.00 90.00°
Fractional coordinates of all 7 atoms:
Ga 0.500 0.821 0.641
Ga 0.000 0.319 0.637
Ga 0.000 0.681 0.363
Ga 0.500 0.179 0.359
Cu 0.500 0.586 0.172
Cu 0.500 0.414 0.828
Dy 0.000 0.000 0.000

Output
distance to the lowest polymorph of the same formula: 105 meV/atom

***

Entry 6:
Computed, not measured: a geometry-optimized DyGa3Cu structure at the GGA-PBE level of DFT.

Cell: 6.099 6.099 6.099 Å, 140.86 140.86 56.55°
Fractional coordinates of all 5 atoms:
Ga 0.613 0.613 0.000
Ga 0.750 0.250 0.500
Ga 0.387 0.387 0.000
Dy 0.000 0.000 0.000
Cu 0.250 0.750 0.500

Output
distance to the lowest polymorph of the same formula: 17 meV/atom

***

Entry 7:
Computed, not measured: a geometry-optimized Dy12Ga6Cu structure at the GGA-PBE level of DFT.

Cell: 8.409 8.409 8.409 Å, 99.91 99.91 99.91°
Fractional coordinates of all 19 atoms:
Dy 0.070 0.952 0.319
Dy 0.569 0.180 0.427
Dy 0.681 0.930 0.048
Dy 0.180 0.427 0.569
Dy 0.431 0.820 0.573
Dy 0.820 0.573 0.431
Dy 0.427 0.569 0.180
Dy 0.048 0.681 0.930
Dy 0.573 0.431 0.820
Dy 0.952 0.319 0.070
Dy 0.930 0.048 0.681
Dy 0.319 0.070 0.952
Ga 0.617 0.303 0.135
Ga 0.303 0.135 0.617
Ga 0.135 0.617 0.303
Ga 0.865 0.383 0.697
Ga 0.383 0.697 0.865
Ga 0.697 0.865 0.383
Cu 0.000 0.000 0.000

Output
final energy: -80.6 eV for the cell shown

***

Entry 8:
Computed, not measured: a geometry-optimized Dy3Ga3Cu8 structure at the GGA-PBE level of DFT.

Cell: 4.170 7.952 7.952 Å, 67.93 74.80 74.80°
Fractional coordinates of all 14 atoms:
Cu 0.170 0.188 0.472
Cu 0.170 0.472 0.188
Cu 0.369 0.914 0.348
Cu 0.631 0.086 0.652
Cu 0.631 0.652 0.086
Cu 0.830 0.528 0.812
Cu 0.830 0.812 0.528
Cu 0.369 0.348 0.914
Dy 0.202 0.798 0.798
Dy 0.798 0.202 0.202
Dy 0.500 0.500 0.500
Ga 0.500 0.000 0.000
Ga 0.000 0.215 0.785
Ga 0.000 0.785 0.215

Output
final energy: -59.9 eV for the cell shown

***

Here are the calculated M_tot numbers, same order: 0.000, 0.000, 0.000, 0.000, 0.000, 0.000, 0.000, 0.000 (μB/f.u.).